# 1
VASP calculation (GGA-PBE) on crystalline Ti6Co2Rh at its relaxed geometry.

Computed properties:
M_tot = 0.000 μB/f.u.
V = 15.3 Å³/atom
calculated formation energy = -0.351 eV per atom
offset from the most stable computed form = 0 meV/atom

a b c (Å): 7.092 7.092 7.092
angles (deg): 109.05 110.54 108.83
Sites, in units of the cell vectors:
1 Ti 0.717 0.394 0.676
2 Co 0.500 0.645 0.145
3 Ti 0.201 0.758 0.959
4 Ti 0.102 0.286 0.816
5 Ti 0.283 0.959 0.676
6 Ti 0.717 0.041 0.324
7 Ti 0.201 0.242 0.443
8 Co 0.500 0.355 0.855
9 Ti 0.471 0.286 0.184
10 Rh 0.000 0.500 0.500
11 Co 0.352 0.000 0.352
12 Ti 0.799 0.242 0.041
13 Ti 0.898 0.714 0.184
14 Co 0.648 0.000 0.648
15 Ti 0.799 0.758 0.557
16 Rh 0.000 0.000 0.000
17 Ti 0.283 0.606 0.324
18 Ti 0.529 0.714 0.816

***

# 2
VASP calculation (GGA-PBE) on crystalline TiCoRh2 at its relaxed geometry.

Computed properties:
M_tot = 1.085 μB/f.u.
V = 14.9 Å³/atom
calculated formation energy = 0.020 eV per atom

a b c (Å): 3.750 3.750 8.888
angles (deg): 77.82 77.82 90.00
Each line ends with the local moment (μB).
Sites, in units of the cell vectors:
1 Rh 0.375 0.362 0.750  0.15
2 Rh 0.112 0.625 0.250  0.15
3 Ti 0.500 0.500 0.000  -0.16
4 Rh 0.875 0.888 0.750  0.15
5 Rh 0.638 0.125 0.250  0.16
6 Ti 0.250 0.750 0.500  -0.16
7 Co 0.750 0.250 0.500  0.96
8 Co 0.000 0.000 0.000  0.96

***

# 3
VASP calculation (GGA-PBE) on crystalline Ti2CoRh at its relaxed geometry.

Computed properties:
M_tot = 0.962 μB/f.u.
V = 14.1 Å³/atom
calculated formation energy = -0.564 eV per atom

a b c (Å): 2.987 2.987 6.324
angles (deg): 90.00 90.00 90.00
Each line ends with the local moment (μB).
Sites, in units of the cell vectors:
1 Co 0.500 0.500 0.000  0.89
2 Ti 0.000 0.000 0.236  0.04
3 Rh 0.500 0.500 0.500  0.00
4 Ti 0.000 0.000 0.764  0.04

***

| no. | total DFT energy (no corrections) (eV per atom) |
| --- | --- |
| 1 | -8.01 |
| 2 | -7.41 |
| 3 | -8.13 |